The following is a PBE calculation of crystalline Pr3Ho4Tl at its relaxed geometry, from the Alexandria database.

Computed properties:
DOS at the Fermi energy: 1.03 states/eV/atom
energy relative to the elements: -0.08 eV/atom
size of the total moment: 0.00 μB/cell
ΔE to the lowest computed polymorph: 4 meV per atom
space group: No. 31

Cell and atoms, written as extended XYZ:
```
16
Lattice="11.3437 0.0000 0.0000 0.0000 7.1540 0.0000 0.0000 0.0000 6.2750" Properties=species:S:1:pos:R:3 pbc="T T T"
Pr 0.0000 0.9199 0.0000
Pr 2.6698 0.8341 2.2140
Pr 3.0020 6.3199 5.3515
Pr 5.6718 6.2341 3.1375
Pr 8.3416 6.3199 5.3515
Pr 8.6739 0.8341 2.2140
Ho 0.0000 2.7562 3.4168
Ho 0.0000 4.4852 0.1562
Ho 2.7239 4.4518 2.2878
Ho 2.9479 2.7022 5.4253
Ho 5.6718 2.6688 3.2937
Ho 5.6718 4.3978 0.2793
Ho 8.3957 2.7022 5.4253
Ho 8.6198 4.4518 2.2878
Tl 0.0000 6.1228 3.3425
Tl 5.6718 1.0312 0.2050
```